Density functional theory data (PBE) for LiIr2Se after structural relaxation.

Cell lengths 2.7437, 4.6126, 4.8588 Å; angles 90.00, 90.00, 90.00 degrees
Positions (direct):
1 Se 0.0000 0.5000 0.5000
2 Ir 0.0000 0.0000 0.0000
3 Ir 0.5000 0.5000 0.0000
4 Li 0.5000 0.0000 0.5000

Density functional theory data (PBE) for LiIr2Se after structural relaxation.

Cell lengths 4.4676, 2.7696, 5.1187 Å; angles 103.86, 90.00, 90.00 degrees
Positions (direct):
1 Ir 0.0000 0.6161 0.4737
2 Ir 0.0000 0.8839 0.0263
3 Li 0.5000 0.2500 0.2500
4 Se 0.5000 0.7500 0.7500

Density functional theory data (PBE) for Li2IrSe after structural relaxation.

Cell lengths 2.9392, 2.9392, 9.0632 Å; angles 90.00, 90.00, 120.49 degrees
Positions (direct):
1 Se 0.0000 0.0000 0.5107
2 Li 0.5000 0.5000 0.2698
3 Li 0.0000 0.0000 0.9800
4 Ir 0.5000 0.5000 0.7395

| no. | uncorrected formation energy (eV per atom) |
| --- | --- |
| 1 | 0.147 |
| 2 | 0.045 |
| 3 | 0.154 |